Compound: LaLu5
Source: the Alexandria database
Functional: GGA-PBE
Structure: relaxed

Cell lengths 4.9735, 4.9659, 7.8698 Å; angles 108.39, 90.00, 90.00 degrees
Closest atoms and distances in Å follow each position.
Fractional positions:
Lu 0.5000 0.8312 0.6624  10 Lu 3.46-3.54, 2 La 3.54
Lu 0.0000 0.6700 0.3400  10 Lu 3.45-3.55, 2 La 3.55
Lu 0.5000 0.5000 0.0000  4 La 3.51, 8 Lu 3.54-3.55
Lu 0.0000 0.3300 0.6600  10 Lu 3.45-3.55, 2 La 3.55
Lu 0.5000 0.1688 0.3376  10 Lu 3.46-3.54, 2 La 3.54
La 0.0000 0.0000 0.0000  12 Lu 3.51-3.55

space group = Cmmm, No. 65
energy = -4.542 eV per atom
ΔH_f (0 K) = 0.047 eV/atom
V = 184.4 Å³ per cell
magnetization = 0.000 μB/f.u.